Record 1
VASP calculation (PBE) on a geometry-optimized MgCd3Se4 structure.

abc: 6.1470 6.1470 6.1470
angles: 90.00 90.00 90.00
Atoms (fractional coordinates):
Mg1 0.0000 0.0000 0.0000
Cd1 0.0000 0.5000 0.5000
Cd2 0.5000 0.0000 0.5000
Cd3 0.5000 0.5000 0.0000
Se1 0.2443 0.2443 0.2443
Se2 0.2443 0.7557 0.7557
Se3 0.7557 0.2443 0.7557
Se4 0.7557 0.7557 0.2443

Values from the calculation:
- space-group type = P-43m
- energy relative to the elements, uncorrected (eV/atom) = -0.783

Record 2
VASP calculation (PBE) on a geometry-optimized MgCd2Se structure.

abc: 5.3992 5.3992 5.3992
angles: 129.93 129.93 73.52
Atoms (fractional coordinates):
Mg1 0.0000 0.0000 0.0000
Cd1 0.5000 0.5000 0.0000
Cd2 0.7500 0.2500 0.5000
Se1 0.2500 0.7500 0.5000

Values from the calculation:
- space-group type = I-4m2
- energy relative to the elements, uncorrected (eV/atom) = -0.108
- Fermi-level density of states (states/eV/atom) = 0.39

Record 3
VASP calculation (PBE) on a geometry-optimized MgCdSe2 structure.

abc: 4.3235 7.4647 8.2324
angles: 63.21 74.78 90.00
Atoms (fractional coordinates):
Mg1 0.0000 0.0000 0.0000
Mg2 0.2519 0.5882 0.4935
Cd1 0.5023 0.5000 0.9944
Cd2 0.7485 0.0807 0.5015
Se1 0.0673 0.3916 0.8644
Se2 0.3114 0.3174 0.3756
Se3 0.5581 0.8987 0.8835
Se4 0.8129 0.8068 0.3719

Values from the calculation:
- space-group type = P1
- energy relative to the elements, uncorrected (eV/atom) = -0.941
- Fermi-level density of states (states/eV/atom) = 0.00